First-principles (PBE) data for a geometry-optimized PmSeO structure, as listed in Alexandria.

Output
As for the uncorrected formation energy: -1.73 eV per atom. The symmetry is Pnma, No. 62.

a = 9.833 Å, b = 4.812 Å, c = 6.886 Å
α = 90.00°, β = 90.00°, γ = 90.00°
Fractional coordinates of all 12 atoms:
Pm1 0.102 0.250 0.219
Pm2 0.398 0.750 0.719
Pm3 0.602 0.250 0.281
Pm4 0.898 0.750 0.781
Se1 0.136 0.750 0.497
Se2 0.364 0.250 0.997
Se3 0.636 0.750 0.003
Se4 0.864 0.250 0.503
O1 0.000 0.000 0.000
O2 0.000 0.500 0.000
O3 0.500 0.000 0.500
O4 0.500 0.500 0.500